(1)
A plane-wave DFT calculation with GGA-PBE was carried out for a geometry-optimized Ca3SnSe4 structure.

a b c (Å): 4.233 4.233 12.024
angles (deg): 90.00 90.00 90.00
Fractional coordinates of all 8 atoms:
Ca 0.500 0.500 0.749
Ca 0.500 0.500 0.251
Ca 0.000 0.000 0.500
Se 0.000 0.000 0.748
Se 0.000 0.000 0.252
Se 0.500 0.500 0.000
Se 0.500 0.500 0.500
Sn 0.000 0.000 0.000

**Calculated volume**: 26.93 A^3/atom
**ΔE to the lowest computed polymorph**: 0.0000 eV/atom
**Uncorrected formation energy**: -1.62 eV per atom

(2)
A plane-wave DFT calculation with GGA-PBE was carried out for a geometry-optimized CaSn5Se6 structure.

a b c (Å): 7.423 7.418 7.415
angles (deg): 59.99 80.42 70.57
Fractional coordinates of all 12 atoms:
Se 0.751 0.754 0.000
Se 0.249 0.246 0.000
Se 0.754 0.082 0.329
Se 0.754 0.411 0.671
Se 0.246 0.918 0.671
Se 0.246 0.589 0.329
Sn 0.000 0.331 0.338
Sn 0.500 0.837 0.327
Sn 0.500 0.500 0.000
Sn 0.500 0.163 0.673
Sn 0.000 0.669 0.662
Ca 0.000 0.000 0.000

**Calculated volume**: 27.78 A^3/atom
**Uncorrected formation energy**: -0.68 eV per atom

(3)
A plane-wave DFT calculation with GGA-PBE was carried out for a geometry-optimized CaSn4Se6 structure.

a b c (Å): 6.071 6.136 10.698
angles (deg): 119.80 107.32 88.51
Fractional coordinates of all 11 atoms:
Se 0.661 0.070 0.984
Se 0.006 0.600 0.671
Se 0.362 0.317 0.327
Se 0.857 0.853 0.358
Se 0.467 0.045 0.615
Se 0.169 0.577 0.055
Sn 0.029 0.153 0.675
Sn 0.528 0.647 0.693
Sn 0.413 0.891 0.326
Sn 0.840 0.321 0.303
Ca 0.168 0.025 0.992

**Calculated volume**: 29.68 A^3/atom
**Uncorrected formation energy**: -0.62 eV per atom